An optimized crystal structure of Pu4Ge2Ir, computed with PBE.

Properties
E_tot   -10.97 eV per atom
Energy of formation   -0.20 eV/atom
Space group   No. 166
Size of the total moment   9.29 μB per formula unit

a = 12.3684 Å, b = 12.3684 Å, c = 12.3684 Å
α = 17.73°, β = 17.73°, γ = 17.73°
With the nearest neighbours (Å) after each atom.
Fractional positions:
1 Pu 0.1198 0.1198 0.1198  3 Ir 2.79, 3 Ge 2.97
2 Pu 0.3199 0.3199 0.3199  3 Pu 2.41
3 Pu 0.6801 0.6801 0.6801  3 Pu 2.41
4 Pu 0.8802 0.8802 0.8802  3 Ir 2.79, 3 Ge 2.97
5 Ge 0.3983 0.3983 0.3983  7 Pu 2.86-2.97
6 Ge 0.6017 0.6017 0.6017  7 Pu 2.86-2.97
7 Ir 0.5000 0.5000 0.5000  6 Pu 2.79